1.
A crystal of KCd2Br relaxed with PBEsol. Source: the Alexandria database, functional meta-GGA SCAN.

Output
- Formation energy without anion corrections: -1.52 eV per formula unit
- Raw total energy: -90.14 eV/cell

abc: 9.6859 9.6859 9.6859
angles: 23.84 23.84 23.84
Element x y z (fractional)
K 0.0000 0.0000 0.0000
Cd 0.2385 0.2385 0.2385
Cd 0.7615 0.7615 0.7615
Br 0.5000 0.5000 0.5000

---

2.
A crystal of KCd2Br relaxed with PBEsol. Source: the Alexandria database, functional meta-GGA SCAN.

Output
- Formation energy without anion corrections: -1.37 eV per formula unit
- Raw total energy: -89.99 eV/cell

abc: 5.6857 5.6857 5.6857
angles: 60.00 60.00 60.00
Element x y z (fractional)
K 0.0000 0.0000 0.0000
Cd 0.2500 0.2500 0.2500
Cd 0.7500 0.7500 0.7500
Br 0.5000 0.5000 0.5000

---

Which of these has the highest raw total energy? number 2

---

Which value of formation energy without anion corrections does entry 2 give? -1.37 eV per formula unit

---

Number 1 is which compound? KCd2Br

---

The lowest raw total energy belongs to which entry? number 1